Record 1
{"formula": "HoFeGe", "functional": "GGA-PBE", "state": "optimized geometry", "formation_energy_ev_per_atom": -0.52, "crystal_system": "tetragonal", "cell": [[-1.010, -3.922, -0.155], [3.800, -0.937, -1.052], [0.221, 1.759, 7.039]], "species": ["Ho", "Ho", "Fe", "Fe", "Ge", "Ge"], "frac_coords": [[0.649, 0.649, 0.298], [0.351, 0.351, 0.702], [0.500, 0.000, 0.000], [0.000, 0.500, 0.000], [0.108, 0.108, 0.216], [0.892, 0.892, 0.784]]}

Record 2
{"formula": "HoFe6Ge12", "functional": "GGA-PBE", "state": "optimized geometry", "formation_energy_ev_per_atom": 0.16, "crystal_system": "cubic", "cell": [[-3.482, 0.699, -6.482], [-4.914, -1.640, 5.272], [3.384, 6.354, 1.676]], "species": ["Ho", "Fe", "Fe", "Fe", "Fe", "Fe", "Fe", "Ge", "Ge", "Ge", "Ge", "Ge", "Ge", "Ge", "Ge", "Ge", "Ge", "Ge", "Ge"], "frac_coords": [[0.000, 0.000, 0.000], [0.356, 0.500, 0.856], [0.644, 0.500, 0.144], [0.500, 0.856, 0.356], [0.500, 0.144, 0.644], [0.856, 0.356, 0.500], [0.144, 0.644, 0.500], [0.291, 0.114, 0.823], [0.291, 0.468, 0.177], [0.709, 0.532, 0.823], [0.709, 0.886, 0.177], [0.114, 0.823, 0.291], [0.468, 0.177, 0.291], [0.532, 0.823, 0.709], [0.886, 0.177, 0.709], [0.823, 0.291, 0.114], [0.177, 0.291, 0.468], [0.823, 0.709, 0.532], [0.177, 0.709, 0.886]]}

Record 3
{"formula": "HoFeGe2", "functional": "GGA-PBE", "state": "optimized geometry", "formation_energy_ev_per_atom": -0.46, "crystal_system": "trigonal", "cell": [[-1.018, -3.886, 0.559], [-0.427, -2.464, -3.193], [4.318, -3.331, -0.582]], "species": ["Ge", "Ge", "Ho", "Fe"], "frac_coords": [[0.782, 0.782, 0.654], [0.218, 0.218, 0.346], [0.000, 0.000, 0.000], [0.500, 0.500, 0.500]]}

Record 4
{"formula": "HoFe3Ge3", "functional": "GGA-PBE", "state": "optimized geometry", "formation_energy_ev_per_atom": -0.25, "crystal_system": "hexagonal", "cell": [[4.046, 0.000, 0.000], [0.000, 8.129, 0.000], [0.000, -4.065, 7.040]], "species": ["Ho", "Ho", "Fe", "Fe", "Fe", "Fe", "Fe", "Fe", "Ge", "Ge", "Ge", "Ge", "Ge", "Ge"], "frac_coords": [[0.250, 0.667, 0.333], [0.750, 0.333, 0.667], [0.750, 0.144, 0.943], [0.750, 0.799, 0.856], [0.250, 0.943, 0.799], [0.750, 0.057, 0.201], [0.250, 0.201, 0.144], [0.250, 0.856, 0.057], [0.750, 0.385, 0.290], [0.750, 0.905, 0.615], [0.250, 0.290, 0.905], [0.750, 0.710, 0.095], [0.250, 0.095, 0.385], [0.250, 0.615, 0.710]]}

Record 5
{"formula": "HoFeGe4", "functional": "GGA-PBE", "state": "optimized geometry", "formation_energy_ev_per_atom": 0.08, "crystal_system": "tetragonal", "cell": [[-2.541, -4.333, -0.619], [3.763, -2.528, 2.252], [-4.305, 1.290, 8.644]], "species": ["Ho", "Ho", "Fe", "Fe", "Ge", "Ge", "Ge", "Ge", "Ge", "Ge", "Ge", "Ge"], "frac_coords": [[0.000, 0.000, 0.500], [0.500, 0.500, 0.000], [0.000, 0.000, 0.000], [0.500, 0.500, 0.500], [0.256, 0.000, 0.197], [0.744, 0.000, 0.197], [0.000, 0.744, 0.803], [0.000, 0.256, 0.803], [0.500, 0.244, 0.697], [0.756, 0.500, 0.303], [0.244, 0.500, 0.303], [0.500, 0.756, 0.697]]}

Record 6
{"formula": "HoFe3Ge3", "functional": "GGA-PBE", "state": "optimized geometry", "formation_energy_ev_per_atom": 0.26, "crystal_system": "cubic", "cell": [[-4.087, 4.782, -1.452], [-2.695, -0.529, 5.843], [4.209, 4.305, 2.332]], "species": ["Ge", "Ge", "Ge", "Ge", "Ge", "Ge", "Ho", "Ho", "Fe", "Fe", "Fe", "Fe", "Fe", "Fe"], "frac_coords": [[0.000, 0.250, 0.500], [0.000, 0.750, 0.500], [0.500, 0.000, 0.750], [0.750, 0.500, 0.000], [0.500, 0.000, 0.250], [0.250, 0.500, 0.000], [0.500, 0.500, 0.500], [0.000, 0.000, 0.000], [0.250, 0.000, 0.500], [0.000, 0.500, 0.250], [0.500, 0.750, 0.000], [0.750, 0.000, 0.500], [0.000, 0.500, 0.750], [0.500, 0.250, 0.000]]}